Record 1
# CaMnBi2 | Alexandria via LeMat-Bulk | SCAN | single point on PBEsol structure
# * volume: 25.53 A^3/atom
# * energy of formation from the pure elements: -0.24 eV per atom
data_CaMnBi2
_chemical_formula_sum 'Ca1 Mn1 Bi2'
_cell_length_a 5.247
_cell_length_b 5.247
_cell_length_c 5.247
_cell_angle_alpha 60.00
_cell_angle_beta 60.00
_cell_angle_gamma 60.00
_space_group_name_H-M_alt 'P 1'
_space_group_IT_number 1
loop_
_space_group_symop_operation_xyz
'x,y,z'
loop_
_atom_site_label
_atom_site_fract_x
_atom_site_fract_y
_atom_site_fract_z
Ca1 0.000 0.000 0.000
Mn1 0.500 0.500 0.500
Bi1 0.250 0.250 0.250
Bi2 0.750 0.750 0.750

---

Record 2
# ScMoRh | Alexandria via LeMat-Bulk | SCAN | single point on PBEsol structure
# * volume: 18.14 A^3/atom
# * energy of formation from the pure elements: 0.31 eV per atom
data_ScMoRh
_chemical_formula_sum 'Sc1 Mo1 Rh1'
_cell_length_a 4.254
_cell_length_b 4.254
_cell_length_c 4.254
_cell_angle_alpha 60.00
_cell_angle_beta 60.00
_cell_angle_gamma 60.00
_space_group_name_H-M_alt 'P 1'
_space_group_IT_number 1
loop_
_space_group_symop_operation_xyz
'x,y,z'
loop_
_atom_site_label
_atom_site_fract_x
_atom_site_fract_y
_atom_site_fract_z
Sc1 0.000 0.000 0.000
Mo1 0.750 0.750 0.750
Rh1 0.500 0.500 0.500

---

- Which formula does entry 2 have?
  ScMoRh

---

- Which formula does entry 1 have?
  CaMnBi2

---

- Which formula does entry 2 have?
  ScMoRh

---

- Among the records above, which one has the highest energy of formation from the pure elements?
  ScMoRh